Record 1
The following is a DFT calculation (PBE) of a relaxed structure of ReC3.

Summary:
Energy relative to the elements: 1.218 eV per atom
Magnetic moment: 0.00 μB/atom
Crystal system: orthorhombic
Total energy: -8.812 eV/atom
E above lowest polymorph: 386 meV per atom

POSCAR file:
```
ReC3
1.0
1.830 -5.198 0.000
1.830 5.198 0.000
0.000 0.000 3.910
Re C
2 6
Direct
0.084 0.916 0.750
0.916 0.084 0.250
0.192 0.808 0.250
0.210 0.394 0.750
0.394 0.210 0.250
0.606 0.790 0.750
0.790 0.606 0.250
0.808 0.192 0.750
```

***

Record 2
The following is a DFT calculation (PBE) of a relaxed structure of Re5C.

Summary:
Energy relative to the elements: 0.160 eV per atom
Magnetic moment: 0.00 μB/atom
Crystal system: monoclinic
Total energy: -11.750 eV/atom
E above lowest polymorph: 0 meV per atom

POSCAR file:
```
Re5C
1.0
4.577 -1.414 0.000
4.577 1.414 0.000
-1.622 0.000 6.292
Re C
5 1
Direct
0.000 0.000 0.000
0.070 0.070 0.433
0.309 0.309 0.201
0.388 0.388 0.637
0.693 0.693 0.799
0.636 0.636 0.217
```